No. 1
The following is a PBE calculation of BaHF after structural relaxation, from Alexandria via LeMat-Bulk.

Properties
space group: No. 107
ΔE to the lowest computed polymorph: 0.212 eV/atom
total magnetization: 0.00 μB per formula unit
density: 4.95 g/cm³

a b c (Å): 3.681 3.681 4.682
angles (deg): 113.15 113.15 90.00
Sites, in units of the cell vectors:
F  0.010  0.010  0.021
H  0.323  0.323  0.646
Ba  0.667  0.667  0.333

=====

No. 2
The following is a PBE calculation of BaHgH2F8 after structural relaxation, from Alexandria via LeMat-Bulk.

Properties
space group: No. 2
total magnetization: 1.30 μB per formula unit
total energy: -3.828 eV per atom
density: 4.71 g/cm³

a b c (Å): 4.517 4.519 9.109
angles (deg): 91.87 84.71 69.92
Sites, in units of the cell vectors:
F  0.289  0.687  0.231
F  0.727  0.728  0.003
H  0.515  0.501  0.784
Hg  0.000  0.000  0.000
Ba  0.000  0.000  0.500
F  0.346  0.346  0.507
F  0.772  0.215  0.208
F  0.654  0.654  0.493
F  0.228  0.785  0.792
F  0.711  0.313  0.769
F  0.273  0.272  0.997
H  0.485  0.499  0.216

=====

No. 3
The following is a PBE calculation of BaInH2F8 after structural relaxation, from Alexandria via LeMat-Bulk.

Properties
space group: No. 12
total magnetization: 1.00 μB per formula unit
total energy: -4.475 eV per atom
density: 4.06 g/cm³

a b c (Å): 4.595 4.596 8.697
angles (deg): 89.20 89.20 64.64
Sites, in units of the cell vectors:
F  0.344  0.344  0.504
F  0.269  0.738  0.798
F  0.737  0.737  0.000
H  0.503  0.503  0.801
F  0.262  0.731  0.202
H  0.497  0.497  0.199
F  0.731  0.262  0.202
In  0.000  0.000  0.000
Ba  0.000  0.000  0.500
F  0.738  0.269  0.798
F  0.656  0.656  0.496
F  0.263  0.263  0.000

=====

No. 4
The following is a PBE calculation of BaIn2HF after structural relaxation, from Alexandria via LeMat-Bulk.

Properties
space group: No. 123
total magnetization: 0.00 μB per formula unit
total energy: -3.018 eV per atom
density: 4.39 g/cm³

a b c (Å): 4.744 6.505 4.744
angles (deg): 90.00 90.00 90.00
Sites, in units of the cell vectors:
H  0.000  0.500  0.000
In  0.000  0.000  0.500
In  0.500  0.000  0.000
F  0.000  0.000  0.000
Ba  0.500  0.500  0.500